# 1
Material: NaGdCu
Method: DFT, PBE
State: relaxed

Cell: 4.832 4.832 4.832 Å, 60.00 60.00 60.00°
Fractional coordinates of all 3 atoms:
Na 0.000 0.000 0.000
Gd 0.750 0.750 0.750
Cu 0.500 0.500 0.500

crystal system	cubic

***

# 2
Material: NaGdCuSe3
Method: DFT, PBE
State: relaxed

Cell: 8.359 4.071 9.910 Å, 90.00 106.10 90.00°
Fractional coordinates of all 12 atoms:
Na 0.190 0.250 0.179
Na 0.810 0.750 0.821
Gd 0.320 0.750 0.851
Gd 0.680 0.250 0.149
Cu 0.082 0.250 0.601
Cu 0.918 0.750 0.399
Se 0.077 0.250 0.847
Se 0.207 0.750 0.542
Se 0.438 0.750 0.154
Se 0.562 0.250 0.846
Se 0.793 0.250 0.458
Se 0.923 0.750 0.153

crystal system	monoclinic

***

# 3
Material: NaGdCuTe3
Method: DFT, PBE
State: relaxed

Cell: 8.787 4.233 10.107 Å, 90.00 106.54 90.00°
Fractional coordinates of all 12 atoms:
Na 0.202 0.250 0.251
Na 0.798 0.750 0.749
Gd 0.324 0.750 0.841
Gd 0.676 0.250 0.159
Cu 0.085 0.250 0.589
Cu 0.915 0.750 0.411
Te 0.077 0.250 0.849
Te 0.227 0.750 0.520
Te 0.423 0.750 0.163
Te 0.577 0.250 0.837
Te 0.773 0.250 0.480
Te 0.923 0.750 0.151

energy above the lowest structure with this stoichiometry	4	meV per atom
crystal system	monoclinic

***

# 4
Material: NaGdCuTe3
Method: DFT, PBE
State: relaxed

Cell: 11.373 4.179 14.734 Å, 90.00 90.00 90.00°
Fractional coordinates of all 24 atoms:
Na 0.224 0.250 0.008
Na 0.276 0.750 0.508
Na 0.724 0.250 0.492
Na 0.776 0.750 0.992
Gd 0.019 0.750 0.745
Gd 0.481 0.250 0.245
Gd 0.519 0.750 0.755
Gd 0.981 0.250 0.255
Cu 0.236 0.750 0.220
Cu 0.264 0.250 0.720
Cu 0.736 0.750 0.280
Cu 0.764 0.250 0.780
Te 0.053 0.750 0.112
Te 0.090 0.250 0.603
Te 0.234 0.250 0.332
Te 0.266 0.750 0.832
Te 0.410 0.750 0.103
Te 0.447 0.250 0.612
Te 0.553 0.750 0.388
Te 0.590 0.250 0.897
Te 0.734 0.250 0.168
Te 0.766 0.750 0.668
Te 0.910 0.750 0.397
Te 0.947 0.250 0.888

energy above the lowest structure with this stoichiometry	1	meV per atom
crystal system	orthorhombic

***

| no. | DFT total energy (eV/f.u.) |
| --- | --- |
| 1 | -7.72 |
| 2 | -26.82 |
| 3 | -24.15 |
| 4 | -24.17 |